[1]
! PrErNi PBE optimized geometry; values from VASP
! - energy above the lowest structure with this stoichiometry (eV/f.u.) = 0.00
! - formation energy from the elements (eV/f.u.) = -0.73
&SYSTEM
  ibrav = 0, nat = 6, ntyp = 3
/
ATOMIC_SPECIES
Pr 140.91 Pr.upf
Er 167.26 Er.upf
Ni 58.69 Ni.upf
ATOMIC_POSITIONS crystal
Pr 0.1666 0.1666 0.0803
Pr 0.8334 0.8334 0.9197
Er 0.4164 0.4164 0.6136
Er 0.5836 0.5836 0.3864
Ni 0.1212 0.1212 0.6653
Ni 0.8788 0.8788 0.3347
CELL_PARAMETERS angstrom
6.0747 -1.8637 0.0000
6.0747 1.8637 0.0000
-4.8752 0.0000 6.6748

[2]
! Pu2TcMo PBE optimized geometry; values from VASP
! - energy above the lowest structure with this stoichiometry (eV/f.u.) = 0.00
! - formation energy from the elements (eV/f.u.) = 1.03
&SYSTEM
  ibrav = 0, nat = 4, ntyp = 3
/
ATOMIC_SPECIES
Pu 244.00 Pu.upf
Tc 98.00 Tc.upf
Mo 95.94 Mo.upf
ATOMIC_POSITIONS crystal
Pu 0.2500 0.2500 0.2500
Pu 0.7500 0.7500 0.7500
Tc 0.0000 0.0000 0.0000
Mo 0.5000 0.5000 0.5000
CELL_PARAMETERS angstrom
0.0000 3.3799 3.3799
3.3799 0.0000 3.3799
3.3799 3.3799 0.0000

[3]
! Ta2NbIn PBE optimized geometry; values from VASP
! - formation energy from the elements (eV/f.u.) = 0.16
&SYSTEM
  ibrav = 0, nat = 4, ntyp = 3
/
ATOMIC_SPECIES
Ta 180.95 Ta.upf
Nb 92.91 Nb.upf
In 114.82 In.upf
ATOMIC_POSITIONS crystal
Ta 0.0000 0.0000 0.2290
Ta 0.0000 0.0000 0.7710
Nb 0.5000 0.5000 0.0000
In 0.5000 0.5000 0.5000
CELL_PARAMETERS angstrom
3.4524 0.0000 0.0000
0.0000 3.4524 0.0000
0.0000 0.0000 6.3961

[4]
! TlSb2Te2 PBE optimized geometry; values from VASP
! - energy above the lowest structure with this stoichiometry (eV/f.u.) = 0.26
! - E_form (uncorrected) (meV/atom) = 52
&SYSTEM
  ibrav = 0, nat = 10, ntyp = 3
/
ATOMIC_SPECIES
Tl 204.38 Tl.upf
Sb 121.76 Sb.upf
Te 127.60 Te.upf
ATOMIC_POSITIONS crystal
Tl 0.0000 0.0000 0.0000
Tl 0.5000 0.5000 0.0000
Sb 0.1900 0.3100 0.5000
Sb 0.3100 0.8100 0.5000
Sb 0.6900 0.1900 0.5000
Sb 0.8100 0.6900 0.5000
Te 0.1504 0.6504 0.0000
Te 0.3496 0.1504 0.0000
Te 0.6504 0.8496 0.0000
Te 0.8496 0.3496 0.0000
CELL_PARAMETERS angstrom
9.1869 0.0000 0.0000
0.0000 9.1869 0.0000
0.0000 0.0000 3.9994

[5]
! LaMg2H8Os PBE optimized geometry; values from VASP
! - energy (eV/atom) = -4.22
&SYSTEM
  ibrav = 0, nat = 12, ntyp = 4
/
ATOMIC_SPECIES
La 138.91 La.upf
Mg 24.30 Mg.upf
H 1.01 H.upf
Os 190.23 Os.upf
ATOMIC_POSITIONS crystal
La 0.0000 0.0000 0.0000
Mg 0.3333 0.6667 0.3675
Mg 0.6667 0.3333 0.6325
H 0.1676 0.3353 0.6641
H 0.1676 0.8324 0.6641
H 0.3333 0.6667 0.0735
H 0.3353 0.1676 0.3359
H 0.6647 0.8324 0.6641
H 0.6667 0.3333 0.9265
H 0.8324 0.1676 0.3359
H 0.8324 0.6647 0.3359
Os 0.0000 0.0000 0.5000
CELL_PARAMETERS angstrom
4.5204 0.0000 0.0000
-2.2602 3.9148 0.0000
0.0000 0.0000 6.7316

[6]
! MnRePt14 PBE optimized geometry; values from VASP
! - formation energy from the elements (eV/f.u.) = -2.14
&SYSTEM
  ibrav = 0, nat = 16, ntyp = 3
/
ATOMIC_SPECIES
Mn 54.94 Mn.upf
Re 186.21 Re.upf
Pt 195.08 Pt.upf
ATOMIC_POSITIONS crystal
Mn 0.0000 0.0000 0.0000
Re 0.5000 0.5000 0.0000
Pt 0.0000 0.0000 0.5000
Pt 0.0000 0.5000 0.0000
Pt 0.0000 0.5000 0.5000
Pt 0.2513 0.2513 0.2428
Pt 0.2513 0.2513 0.7572
Pt 0.2513 0.7487 0.2428
Pt 0.2513 0.7487 0.7572
Pt 0.5000 0.0000 0.0000
Pt 0.5000 0.0000 0.5000
Pt 0.5000 0.5000 0.5000
Pt 0.7487 0.2513 0.2428
Pt 0.7487 0.2513 0.7572
Pt 0.7487 0.7487 0.2428
Pt 0.7487 0.7487 0.7572
CELL_PARAMETERS angstrom
5.6070 0.0000 0.0000
0.0000 5.6070 0.0000
0.0000 0.0000 7.8661

[7]
! TiPdN2O PBE optimized geometry; values from VASP
! - E_form (uncorrected) (meV/atom) = 142
&SYSTEM
  ibrav = 0, nat = 5, ntyp = 4
/
ATOMIC_SPECIES
Ti 47.87 Ti.upf
Pd 106.42 Pd.upf
N 14.01 N.upf
O 16.00 O.upf
ATOMIC_POSITIONS crystal
Ti 0.0000 0.0000 0.0000
Pd 0.5000 0.5000 0.5000
N 0.0000 0.5000 0.0000
N 0.5000 0.0000 0.0000
O 0.0000 0.0000 0.5000
CELL_PARAMETERS angstrom
4.0086 0.0000 0.0000
0.0000 4.0086 0.0000
0.0000 0.0000 3.7365

[8]
! Fe2Si2Ge PBE optimized geometry; values from VASP
! - energy above the lowest structure with this stoichiometry (eV/f.u.) = 0.00
! - E_form (uncorrected) (meV/atom) = -94
&SYSTEM
  ibrav = 0, nat = 10, ntyp = 3
/
ATOMIC_SPECIES
Fe 55.84 Fe.upf
Si 28.09 Si.upf
Ge 72.64 Ge.upf
ATOMIC_POSITIONS crystal
Fe 0.1526 0.3474 0.0000
Fe 0.3474 0.8474 0.0000
Fe 0.6526 0.1526 0.0000
Fe 0.8474 0.6526 0.0000
Si 0.1400 0.6400 0.5000
Si 0.3600 0.1400 0.5000
Si 0.6400 0.8600 0.5000
Si 0.8600 0.3600 0.5000
Ge 0.0000 0.0000 0.0000
Ge 0.5000 0.5000 0.0000
CELL_PARAMETERS angstrom
6.6990 0.0000 0.0000
0.0000 6.6990 0.0000
0.0000 0.0000 2.6962

[9]
! Na4Zn3F10 PBE optimized geometry; values from VASP
! - E_form (uncorrected) (meV/atom) = -2476
&SYSTEM
  ibrav = 0, nat = 17, ntyp = 3
/
ATOMIC_SPECIES
Na 22.99 Na.upf
Zn 65.41 Zn.upf
F 19.00 F.upf
ATOMIC_POSITIONS crystal
Na 0.0704 0.0704 0.0000
Na 0.2034 0.2034 0.0000
Na 0.7966 0.7966 0.0000
Na 0.9296 0.9296 0.0000
Zn 0.3537 0.3537 0.0000
Zn 0.5000 0.5000 0.0000
Zn 0.6463 0.6463 0.0000
F 0.0000 0.5000 0.5000
F 0.1438 0.6438 0.5000
F 0.2822 0.2822 0.0000
F 0.3562 0.8562 0.5000
F 0.4274 0.4274 0.0000
F 0.5000 0.0000 0.5000
F 0.5726 0.5726 0.0000
F 0.6438 0.1438 0.5000
F 0.7178 0.7178 0.0000
F 0.8562 0.3562 0.5000
CELL_PARAMETERS angstrom
-2.0320 2.0320 13.9144
2.0320 -2.0320 13.9144
2.0320 2.0320 -13.9144

[10]
! Pa2GaOs PBE optimized geometry; values from VASP
! - energy above the lowest structure with this stoichiometry (eV/f.u.) = 0.00
! - formation energy from the elements (eV/f.u.) = -1.31
&SYSTEM
  ibrav = 0, nat = 8, ntyp = 3
/
ATOMIC_SPECIES
Pa 231.04 Pa.upf
Ga 69.72 Ga.upf
Os 190.23 Os.upf
ATOMIC_POSITIONS crystal
Pa 0.1871 0.2500 0.4046
Pa 0.2759 0.7500 0.0539
Pa 0.7241 0.2500 0.9461
Pa 0.8129 0.7500 0.5954
Ga 0.3649 0.7500 0.7022
Ga 0.6351 0.2500 0.2978
Os 0.1035 0.2500 0.8001
Os 0.8965 0.7500 0.1999
CELL_PARAMETERS angstrom
5.8701 0.0000 0.0000
0.0000 3.9182 0.0000
-2.6241 0.0000 7.8075

The calculation returns the following ρ values, one per record and in order: 8.062; 14.664; 12.407; 6.918; 5.378; 19.958; 5.484; 6.601; 3.455; 13.353 g cm⁻³.